Record 1
VASP calculation (GGA-PBE) on an optimized crystal structure of NpPa3Tl3Te8.

Results
**Spin magnetization**: 9.014 Bohr magnetons per cell
**Formation energy from raw total energies**: -638 meV/atom

a = 8.660 Å, b = 8.660 Å, c = 9.849 Å
α = 116.08°, β = 90.00°, γ = 120.00°
Each line ends with the local moment (μB).
Sites, in units of the cell vectors:
Te  0.758  0.516  0.282  -0.05
Te  0.740  0.480  0.720  -0.03
Te  0.734  0.976  0.718  -0.05
Tl  0.500  0.500  0.000  0.00
Te  0.242  0.484  0.718  -0.05
Te  0.758  0.024  0.282  -0.05
Pa  0.500  0.500  0.500  1.31
Tl  0.000  0.000  0.000  0.00
Pa  0.500  0.000  0.500  1.31
Pa  0.000  0.500  0.500  1.31
Tl  0.000  0.500  0.000  0.00
Np  0.000  0.000  0.500  4.07
Te  0.242  0.976  0.718  -0.05
Te  0.266  0.024  0.282  -0.05
Te  0.260  0.520  0.280  -0.03

Record 2
VASP calculation (GGA-PBE) on an optimized crystal structure of NdPuPb6.

Results
**Spin magnetization**: 5.634 Bohr magnetons per cell
**Raw total energy**: -42.6 eV per formula unit

a = 5.689 Å, b = 5.689 Å, c = 7.481 Å
α = 90.00°, β = 90.00°, γ = 90.00°
Each line ends with the local moment (μB).
Sites, in units of the cell vectors:
Pb  0.500  0.500  0.500  0.00
Pb  0.500  0.000  0.747  -0.01
Pb  0.000  0.500  0.253  -0.01
Pu  0.000  0.000  0.500  5.46
Pb  0.500  0.000  0.253  -0.01
Pb  0.500  0.500  0.000  0.01
Nd  0.000  0.000  0.000  -0.03
Pb  0.000  0.500  0.747  -0.01

Record 3
VASP calculation (GGA-PBE) on an optimized crystal structure of NaTi2ZnB.

Results
**Spin magnetization**: 0.000 Bohr magnetons per cell
**Raw total energy**: -14.5 eV per formula unit

a = 4.620 Å, b = 4.409 Å, c = 4.620 Å
α = 90.00°, β = 90.00°, γ = 90.00°
Sites, in units of the cell vectors:
Zn  0.000  0.500  0.000
Ti  0.500  0.000  0.000
B  0.500  0.500  0.500
Ti  0.000  0.000  0.500
Na  0.000  0.000  0.000

- Which of these has the lowest spin magnetization?
  NaTi2ZnB

- spin magnetization of number 1 (NpPa3Tl3Te8)?
  9.014 Bohr magnetons per cell